Version A
Computed, not measured: a geometry-optimized SrThZn4 structure at the PBE-GGA level of DFT.

Summary:
Total magnetic moment (μB/f.u.): 0.00
Theoretical density (g cm⁻³): 7.54

Unit cell a=5.658 b=5.658 c=5.658 alpha=60.00 beta=60.00 gamma=60.00
Element x y z (fractional)
Sr 0.250 0.250 0.250
Zn 0.626 0.626 0.121
Zn 0.626 0.121 0.626
Zn 0.626 0.626 0.626
Zn 0.121 0.626 0.626
Th 0.000 0.000 0.000

=====

Version B
Computed, not measured: a geometry-optimized SrThZn4 structure at the PBE-GGA level of DFT.

Summary:
Total magnetic moment (μB/f.u.): 0.00
Theoretical density (g cm⁻³): 6.72

Unit cell a=4.610 b=4.610 c=7.803 alpha=90.00 beta=90.01 gamma=120.00
Element x y z (fractional)
Sr 0.004 0.499 0.498
Th 0.004 0.499 0.998
Zn 0.671 0.833 0.207
Zn 0.337 0.166 0.789
Zn 0.671 0.833 0.789
Zn 0.337 0.166 0.207

=====

Of them, version B has the highest stability.

=====

Version A
Computed, not measured: a geometry-optimized SrTi structure at the PBE-GGA level of DFT.

Summary:
Total magnetic moment (μB/f.u.): 3.87
Theoretical density (g cm⁻³): 2.20

Unit cell a=5.936 b=5.936 c=6.696 alpha=90.00 beta=90.00 gamma=120.00
Last column: magnetic moment on the atom in μB.
Element x y z (fractional)
Sr 0.333 0.667 0.750  0.20
Sr 0.667 0.333 0.250  0.20
Ti 0.333 0.667 0.250  2.15
Ti 0.667 0.333 0.750  2.15

=====

Version B
Computed, not measured: a geometry-optimized SrTi structure at the PBE-GGA level of DFT.

Summary:
Total magnetic moment (μB/f.u.): 0.33
Theoretical density (g cm⁻³): 3.32

Unit cell a=12.223 b=12.223 c=3.632 alpha=90.00 beta=90.00 gamma=90.00
Last column: magnetic moment on the atom in μB.
Element x y z (fractional)
Sr 0.182 0.882 0.000  0.00
Sr 0.818 0.118 0.000  0.00
Sr 0.118 0.182 0.000  0.00
Sr 0.882 0.818 0.000  0.00
Sr 0.682 0.382 0.500  0.00
Sr 0.318 0.618 0.500  0.00
Sr 0.618 0.682 0.500  0.00
Sr 0.382 0.318 0.500  0.00
Ti 0.407 0.069 0.000  0.28
Ti 0.593 0.931 0.000  0.28
Ti 0.931 0.407 0.000  0.28
Ti 0.069 0.593 0.000  0.28
Ti 0.907 0.569 0.500  0.28
Ti 0.093 0.431 0.500  0.28
Ti 0.431 0.907 0.500  0.28
Ti 0.569 0.093 0.500  0.28

=====

Of them, version B has the highest stability.

=====

Version A
Computed, not measured: a geometry-optimized SrTi structure at the PBE-GGA level of DFT.

Summary:
Total magnetic moment (μB/f.u.): 0.97
Theoretical density (g cm⁻³): 3.09

Unit cell a=6.649 b=6.649 c=6.586 alpha=90.00 beta=90.00 gamma=90.00
Last column: magnetic moment on the atom in μB.
Element x y z (fractional)
Sr 0.175 0.175 0.000  0.01
Sr 0.675 0.325 0.500  0.01
Sr 0.325 0.675 0.500  0.01
Sr 0.825 0.825 0.000  0.01
Ti 0.385 0.615 0.000  0.86
Ti 0.885 0.885 0.500  0.86
Ti 0.115 0.115 0.500  0.86
Ti 0.615 0.385 0.000  0.86

=====

Version B
Computed, not measured: a geometry-optimized SrTi structure at the PBE-GGA level of DFT.

Summary:
Total magnetic moment (μB/f.u.): 3.90
Theoretical density (g cm⁻³): 1.91

Unit cell a=7.786 b=7.786 c=7.786 alpha=90.00 beta=90.00 gamma=90.00
Last column: magnetic moment on the atom in μB.
Element x y z (fractional)
Sr 0.000 0.000 0.000  0.20
Sr 0.000 0.500 0.500  0.20
Sr 0.500 0.000 0.500  0.20
Sr 0.500 0.500 0.000  0.20
Ti 0.250 0.250 0.250  2.20
Ti 0.250 0.750 0.750  2.20
Ti 0.750 0.250 0.750  2.20
Ti 0.750 0.750 0.250  2.20

=====

Version C
Computed, not measured: a geometry-optimized SrTi structure at the PBE-GGA level of DFT.

Summary:
Total magnetic moment (μB/f.u.): 0.31
Theoretical density (g cm⁻³): 3.47

Unit cell a=6.214 b=10.421 c=8.020 alpha=90.00 beta=90.00 gamma=90.00
Last column: magnetic moment on the atom in μB.
Element x y z (fractional)
Sr 0.749 0.426 0.396  0.00
Sr 0.249 0.074 0.104  0.00
Sr 0.251 0.926 0.604  0.00
Sr 0.751 0.574 0.896  0.00
Sr 0.251 0.574 0.604  0.00
Sr 0.751 0.926 0.896  0.00
Sr 0.749 0.074 0.396  0.00
Sr 0.249 0.426 0.104  0.00
Ti 0.487 0.250 0.738  0.18
Ti 0.987 0.250 0.762  0.18
Ti 0.513 0.750 0.262  0.18
Ti 0.013 0.750 0.238  0.18
Ti 0.745 0.250 0.983  0.32
Ti 0.245 0.250 0.517  0.32
Ti 0.255 0.750 0.017  0.32
Ti 0.755 0.750 0.483  0.32

=====

Version D
Computed, not measured: a geometry-optimized SrTi structure at the PBE-GGA level of DFT.

Summary:
Total magnetic moment (μB/f.u.): 0.33
Theoretical density (g cm⁻³): 3.62

Unit cell a=3.412 b=6.192 c=6.193 alpha=106.22 beta=95.25 gamma=95.29
Last column: magnetic moment on the atom in μB.
Element x y z (fractional)
Sr 0.004 0.693 0.808  0.00
Sr 0.996 0.307 0.192  0.00
Ti 0.394 0.132 0.630  0.29
Ti 0.606 0.868 0.370  0.29

=====

Of them, version C has the highest stability.

=====

Version A
Computed, not measured: a geometry-optimized SrTi structure at the PBE-GGA level of DFT.

Summary:
Total magnetic moment (μB/f.u.): 1.83
Theoretical density (g cm⁻³): 3.75

Unit cell a=3.462 b=3.462 c=5.774 alpha=90.00 beta=90.00 gamma=120.00
Last column: magnetic moment on the atom in μB.
Element x y z (fractional)
Sr 0.333 0.667 0.500  0.02
Ti 0.000 0.000 0.000  1.27

=====

Version B
Computed, not measured: a geometry-optimized SrTi structure at the PBE-GGA level of DFT.

Summary:
Total magnetic moment (μB/f.u.): 0.00
Theoretical density (g cm⁻³): 2.96

Unit cell a=10.955 b=10.955 c=4.382 alpha=90.00 beta=90.00 gamma=120.00
Element x y z (fractional)
Sr 0.813 0.627 0.250
Sr 0.187 0.813 0.750
Sr 0.373 0.187 0.250
Sr 0.187 0.373 0.750
Sr 0.813 0.187 0.250
Sr 0.627 0.813 0.750
Ti 0.467 0.934 0.250
Ti 0.533 0.467 0.750
Ti 0.066 0.533 0.250
Ti 0.533 0.066 0.750
Ti 0.467 0.533 0.250
Ti 0.934 0.467 0.750

=====

Version C
Computed, not measured: a geometry-optimized SrTi structure at the PBE-GGA level of DFT.

Summary:
Total magnetic moment (μB/f.u.): 0.74
Theoretical density (g cm⁻³): 3.45

Unit cell a=10.334 b=16.079 c=6.271 alpha=90.00 beta=90.00 gamma=90.00
Last column: magnetic moment on the atom in μB.
Element x y z (fractional)
Sr 0.334 0.000 0.000  0.02
Sr 0.666 0.000 0.000  0.02
Sr 0.916 0.750 0.250  0.02
Sr 0.584 0.750 0.250  0.02
Sr 0.334 0.500 0.500  0.02
Sr 0.666 0.500 0.500  0.02
Sr 0.916 0.250 0.750  0.02
Sr 0.584 0.250 0.750  0.02
Sr 0.834 0.000 0.500  0.02
Sr 0.166 0.000 0.500  0.02
Sr 0.416 0.750 0.750  0.02
Sr 0.084 0.750 0.750  0.02
Sr 0.834 0.500 0.000  0.02
Sr 0.166 0.500 0.000  0.02
Sr 0.416 0.250 0.250  0.02
Sr 0.084 0.250 0.250  0.02
Ti 0.000 0.933 0.000  0.56
Ti 0.000 0.067 0.000  0.56
Ti 0.250 0.817 0.250  0.56
Ti 0.250 0.683 0.250  0.56
Ti 0.000 0.433 0.500  0.56
Ti 0.000 0.567 0.500  0.56
Ti 0.250 0.317 0.750  0.56
Ti 0.250 0.183 0.750  0.56
Ti 0.500 0.933 0.500  0.56
Ti 0.500 0.067 0.500  0.56
Ti 0.750 0.817 0.750  0.56
Ti 0.750 0.683 0.750  0.56
Ti 0.500 0.433 0.000  0.56
Ti 0.500 0.567 0.000  0.56
Ti 0.750 0.317 0.250  0.56
Ti 0.750 0.183 0.250  0.56

=====

Of them, version C has the highest stability.

=====

Version A
Computed, not measured: a geometry-optimized SrTi structure at the PBE-GGA level of DFT.

Summary:
Total magnetic moment (μB/f.u.): 0.00
Theoretical density (g cm⁻³): 3.41

Unit cell a=14.277 b=3.588 c=7.738 alpha=90.00 beta=90.00 gamma=90.00
Element x y z (fractional)
Sr 0.784 0.000 0.240
Sr 0.216 0.000 0.240
Sr 0.284 0.500 0.740
Sr 0.716 0.500 0.740
Sr 0.000 0.500 0.940
Sr 0.500 0.000 0.440
Ti 0.915 0.000 0.597
Ti 0.085 0.000 0.597
Ti 0.415 0.500 0.097
Ti 0.585 0.500 0.097
Ti 0.000 0.500 0.387
Ti 0.500 0.000 0.887

=====

Version B
Computed, not measured: a geometry-optimized SrTi structure at the PBE-GGA level of DFT.

Summary:
Total magnetic moment (μB/f.u.): 3.94
Theoretical density (g cm⁻³): 1.56

Unit cell a=9.535 b=9.535 c=9.535 alpha=90.00 beta=90.00 gamma=90.00
Last column: magnetic moment on the atom in μB.
Element x y z (fractional)
Sr 0.250 0.500 0.000  0.20
Sr 0.750 0.500 0.000  0.20
Sr 0.500 0.000 0.250  0.20
Sr 0.500 0.000 0.750  0.20
Sr 0.000 0.250 0.500  0.20
Sr 0.000 0.750 0.500  0.20
Ti 0.250 0.000 0.500  2.18
Ti 0.750 0.000 0.500  2.18
Ti 0.000 0.500 0.250  2.18
Ti 0.000 0.500 0.750  2.18
Ti 0.500 0.250 0.000  2.18
Ti 0.500 0.750 0.000  2.18

=====

Version C
Computed, not measured: a geometry-optimized SrTi structure at the PBE-GGA level of DFT.

Summary:
Total magnetic moment (μB/f.u.): 2.52
Theoretical density (g cm⁻³): 3.04

Unit cell a=6.661 b=6.661 c=6.661 alpha=90.00 beta=90.00 gamma=90.00
Last column: magnetic moment on the atom in μB.
Element x y z (fractional)
Sr 0.500 0.500 0.500  0.11
Sr 0.500 0.000 0.000  0.11
Sr 0.000 0.500 0.000  0.11
Sr 0.000 0.000 0.500  0.11
Ti 0.000 0.000 0.000  1.75
Ti 0.000 0.500 0.500  1.75
Ti 0.500 0.000 0.500  1.75
Ti 0.500 0.500 0.000  1.75

=====

Of them, version A has the highest stability.